LuUPa2 | Alexandria via LeMat-Bulk | GGA-PBE | relaxed; formation enthalpy at 0 K = 348 meV per atom; SG = R-3m (166)
1.0
-1.2037 2.8661 -0.1414
-0.5260 1.3322 -2.7627
-11.5955 -3.2351 -1.1048
Pa U Lu
2 1 1
Direct
0.9129 0.9129 0.2614
0.0871 0.0871 0.7386
0.5000 0.5000 0.5000
0.0000 0.0000 0.0000

YTm4Th | Alexandria via LeMat-Bulk | GGA-PBE | relaxed; formation enthalpy at 0 K = 309 meV per atom; SG = F-43m (216); relative energy among the computed polymorphs = 307 meV/atom
1.0
-3.7343 -0.5237 5.2755
-2.3394 -5.7877 1.7549
2.2810 -2.9454 5.3077
Tm Y Th
4 1 1
Direct
0.6248 0.6248 0.1257
0.6248 0.1257 0.6248
0.6248 0.6248 0.6248
0.1257 0.6248 0.6248
0.0000 0.0000 0.0000
0.2500 0.2500 0.2500

Cd2Ru | Alexandria via LeMat-Bulk | GGA-PBE | relaxed; formation enthalpy at 0 K = 322 meV per atom; SG = I4/mmm (139)
1.0
6.6508 -0.0008 0.0000
5.3178 3.9943 0.0000
-5.9843 -1.9968 2.1058
Ru Cd
1 2
Direct
0.3333 0.3333 0.0000
0.6797 0.6797 0.0000
0.9870 0.9870 0.0000

LaThGa | Alexandria via LeMat-Bulk | GGA-PBE | relaxed; formation enthalpy at 0 K = -251 meV per atom; SG = I4mm (107); relative energy among the computed polymorphs = 0 meV/atom
1.0
-2.3390 -2.9314 0.3373
0.2591 -0.6328 -3.7027
5.8630 -1.9540 2.6588
Th La Ga
1 1 1
Direct
0.3109 0.3109 0.6219
0.0185 0.0185 0.0369
0.6706 0.6706 0.3412

PrDyC2 | Alexandria via LeMat-Bulk | GGA-PBE | relaxed; formation enthalpy at 0 K = 227 meV per atom; SG = R-3m (166)
1.0
-3.6119 0.4984 -0.6996
-1.8264 -2.4182 -2.1447
-3.2093 -3.9122 3.9308
Dy C Pr
1 2 1
Direct
0.0000 0.0000 0.0000
0.7448 0.7448 0.7656
0.2552 0.2552 0.2344
0.5000 0.5000 0.5000

CsPbIO2 | Alexandria via LeMat-Bulk | GGA-PBE | relaxed; SG = P4/mmm (123); ΔE_f (raw) = 25.09 kJ per mole of atoms; relative energy among the computed polymorphs = 769 meV/atom
1.0
4.7126 0.0000 0.0000
0.0000 4.7126 0.0000
0.0000 0.0000 6.8372
Pb I O Cs
1 1 2 1
Direct
0.5000 0.5000 0.5000
0.0000 0.0000 0.5000
0.5000 0.0000 0.0000
0.0000 0.5000 0.0000
0.0000 0.0000 0.0000

ReNiIr | Alexandria via LeMat-Bulk | GGA-PBE | relaxed; formation enthalpy at 0 K = -149 meV per atom; SG = Imm2 (44); relative energy among the computed polymorphs = 0 meV/atom
1.0
4.5918 0.0058 -0.0021
2.2492 4.0033 0.0021
-3.0569 -2.6251 2.2022
Ir Ni Re
1 1 1
Direct
0.9991 0.9991 0.0000
0.6687 0.6687 0.0000
0.3322 0.3322 0.0000

no.,calculated density (g/cm3)
1,14.494
2,8.584
3,9.672
4,8.354
5,7.543
6,5.457
7,17.938